*P*
Compound: CoOs2Rh
Source: Alexandria
Functional: PBE
Structure: relaxed

Symmetry: No. 216
Fermi-level density of states (states/eV/cell): 5.91

Cell lengths 4.2808, 4.2808, 4.2808 Å; angles 60.00, 60.00, 60.00 degrees
Closest atoms and distances in Å follow each position.
Element x y z (fractional)
Co: 0.5000 0.5000 0.5000  4 Os 2.62, 4 Rh 2.62
Os: 0.0000 0.0000 0.0000  4 Os 2.62, 4 Rh 2.62
Os: 0.2500 0.2500 0.2500  4 Co 2.62, 4 Os 2.62
Rh: 0.7500 0.7500 0.7500  4 Co 2.62, 4 Os 2.62



*Q*
Compound: CoOs2Rh
Source: Alexandria
Functional: PBE
Structure: relaxed

Symmetry: No. 47
Fermi-level density of states (states/eV/cell): 5.68

Cell lengths 2.7311, 4.5182, 4.5305 Å; angles 90.00, 90.00, 90.00 degrees
Closest atoms and distances in Å follow each position.
Element x y z (fractional)
Co: 0.0000 0.5000 0.5000  4 Rh 2.64, 4 Os 2.64, 2 Co 2.73
Os: 0.0000 0.0000 0.0000  6 Os 2.64-2.73, 4 Rh 2.64
Os: 0.5000 0.5000 0.0000  6 Os 2.64-2.73, 4 Co 2.64
Rh: 0.5000 0.0000 0.5000  4 Co 2.64, 4 Os 2.64, 2 Rh 2.73



*R*
Compound: CoOs2Rh
Source: Alexandria
Functional: PBE
Structure: relaxed

Symmetry: No. 25
Fermi-level density of states (states/eV/cell): 4.84

Cell lengths 2.7001, 3.7585, 5.3175 Å; angles 90.00, 90.00, 90.00 degrees
Closest atoms and distances in Å follow each position.
Element x y z (fractional)
Co: 0.5000 0.5000 0.7517  6 Os 2.60-2.71, 4 Rh 2.65, 2 Co 2.70
Os: 0.0000 0.0000 0.9965  2 Rh 2.58-2.73, 6 Os 2.65-2.70, 4 Co 2.66
Os: 0.5000 0.5000 0.2411  2 Co 2.60-2.71, 6 Os 2.65-2.70, 4 Rh 2.72
Rh: 0.0000 0.0000 0.5106  6 Os 2.58-2.73, 4 Co 2.65, 2 Rh 2.70



Relative to the most stable one, in meV/atom, the structures come out at *P* 382; *Q* 361; *R* 0.



*P*
Compound: CoOs2Rh
Source: Alexandria
Functional: PBE
Structure: relaxed

Symmetry: No. 47
Fermi-level density of states (states/eV/cell): 4.54

Cell lengths 3.7861, 2.6653, 5.9538 Å; angles 63.41, 90.00, 90.00 degrees
Closest atoms and distances in Å follow each position.
Element x y z (fractional)
Co: 0.5000 0.7500 0.7500  8 Os 2.63, 2 Rh 2.66, 2 Co 2.67
Os: 0.0000 0.0158 0.9853  3 Os 2.51-2.67, 4 Co 2.63, 4 Rh 2.71
Os: 0.0000 0.4842 0.5147  3 Os 2.51-2.67, 4 Co 2.63, 4 Rh 2.71
Rh: 0.5000 0.2500 0.2500  2 Co 2.66, 2 Rh 2.67, 8 Os 2.71



*Q*
Compound: CoOs2Rh
Source: Alexandria
Functional: PBE
Structure: relaxed

Symmetry: No. 160
Fermi-level density of states (states/eV/cell): 4.02

Cell lengths 8.7550, 8.7550, 8.7550 Å; angles 17.80, 17.80, 17.80 degrees
Closest atoms and distances in Å follow each position.
Element x y z (fractional)
Co: 0.7499 0.7499 0.7499  3 Rh 2.61, 3 Os 2.63, 6 Co 2.71
Os: 0.0016 0.0016 0.0016  3 Co 2.63, 9 Os 2.67-2.71
Os: 0.2511 0.2511 0.2511  9 Os 2.67-2.71, 3 Rh 2.74
Rh: 0.4974 0.4974 0.4974  3 Co 2.61, 6 Rh 2.71, 3 Os 2.74



Relative to the most stable one, in meV/atom, the structures come out at *P* 12; *Q* 0.



*P*
Compound: CoOs2Rh
Source: Alexandria
Functional: PBE
Structure: relaxed

Symmetry: No. 8
Fermi-level density of states (states/eV/cell): 4.71

Cell lengths 4.6213, 4.6213, 4.6212 Å; angles 80.51, 80.51, 33.65 degrees
Closest atoms and distances in Å follow each position.
Element x y z (fractional)
Co: 0.2531 0.2531 0.2479  3 Rh 2.62-2.69, 7 Os 2.62-2.72, 2 Co 2.68
Os: 0.9984 0.9984 0.9998  5 Os 2.63-2.68, 4 Rh 2.64-2.70, 3 Co 2.64-2.70
Os: 0.7489 0.7489 0.7611  4 Co 2.62-2.72, 5 Os 2.63-2.68, 3 Rh 2.70-2.71
Rh: 0.4996 0.4996 0.4911  3 Co 2.62-2.69, 7 Os 2.64-2.71, 2 Rh 2.68



*Q*
Compound: CoOs2Rh
Source: Alexandria
Functional: PBE
Structure: relaxed

Symmetry: No. 119
Fermi-level density of states (states/eV/cell): 5.43

Cell lengths 4.6018, 4.6018, 4.6002 Å; angles 131.39, 131.39, 71.22 degrees
Closest atoms and distances in Å follow each position.
Element x y z (fractional)
Co: 0.2500 0.7500 0.5000  8 Os 2.66-2.68, 4 Rh 2.66
Os: 0.0001 0.0001 0.0000  4 Co 2.66, 4 Os 2.66, 4 Rh 2.68
Os: 0.7500 0.2500 0.5000  4 Os 2.66, 4 Rh 2.66, 4 Co 2.68
Rh: 0.5000 0.5000 0.0000  8 Os 2.66-2.68, 4 Co 2.66



*R*
Compound: CoOs2Rh
Source: Alexandria
Functional: PBE
Structure: relaxed

Symmetry: No. 35
Fermi-level density of states (states/eV/cell): 6.40

Cell lengths 2.6655, 2.6655, 8.9898 Å; angles 90.00, 90.00, 118.38 degrees
Closest atoms and distances in Å follow each position.
Element x y z (fractional)
Co: 0.5000 0.5000 0.7506  2 Os 2.56, 2 Rh 2.56, 6 Co 2.67-2.73
Os: 0.0000 0.0000 0.9912  2 Co 2.56, 8 Os 2.67-2.73
Os: 0.5000 0.5000 0.2488  8 Os 2.67-2.73, 2 Rh 2.71
Rh: 0.0000 0.0000 0.5094  2 Co 2.56, 6 Rh 2.67-2.73, 2 Os 2.71



Relative to the most stable one, in meV/atom, the structures come out at *P* 0; *Q* 9; *R* 345.